Record 1
A relaxed La6CuRh3 crystal. Source: Alexandria, functional PBE.

Output
The crystal system is monoclinic. As for the calculated formation energy: -0.5186 eV/atom. The size of the total moment comes out at 0.00 μB/cell.

POSCAR file:
```
La6CuRh3
1.0
-2.477 2.996 1.606
-3.067 3.687 -11.612
-7.600 -8.447 4.034
La Cu Rh
12 2 6
Cartesian
-5.466 4.880 -9.276 La
-7.114 -4.519 0.210 La
-9.617 -4.956 -2.837 La
-6.030 2.755 -6.182 La
-7.731 -1.154 -1.510 La
-3.205 -0.474 -1.306 La
-5.643 -1.187 1.771 La
-9.939 -1.289 -4.666 La
-7.678 -6.644 3.305 La
-5.413 -0.609 -4.461 La
-3.527 3.192 -3.135 La
-7.501 -0.577 -7.742 La
-7.395 -3.431 3.256 Cu
-5.749 1.668 -9.227 Cu
-3.596 1.392 -5.391 Rh
-2.949 2.174 -0.342 Rh
-10.195 -3.938 -5.630 Rh
-7.852 0.699 -5.155 Rh
-9.548 -3.155 -0.581 Rh
-5.292 -2.462 -0.817 Rh
```

Record 2
A relaxed LaCuRh2 crystal. Source: Alexandria, functional PBE.

Output
The crystal system is cubic. As for the calculated formation energy: -0.1403 eV/atom. The size of the total moment comes out at 0.00 μB/cell.

POSCAR file:
```
LaCuRh2
1.0
-4.224 -1.842 0.754
-0.393 -4.411 1.482
-1.418 -0.880 4.361
La Rh Cu
1 2 1
Cartesian
-4.527 -5.350 4.948 La
-1.509 -1.783 1.649 Rh
0.000 0.000 0.000 Rh
-3.018 -3.566 3.299 Cu
```

Record 3
A relaxed La2CuRh crystal. Source: Alexandria, functional PBE.

Output
The crystal system is tetragonal. As for the calculated formation energy: -0.1851 eV/atom. The size of the total moment comes out at 0.36 μB/cell.

POSCAR file:
```
La2CuRh
1.0
3.580 -0.025 0.000
0.024 3.580 0.000
0.000 0.000 7.880
Rh La Cu
1 2 1
Cartesian
0.000 0.000 4.354 Rh
0.000 0.000 7.172 La
1.802 1.778 2.656 La
1.802 1.778 5.517 Cu
```

| no. | density (g/cm³) |
| --- | --- |
| 1 | 6.739 |
| 2 | 9.415 |
| 3 | 7.305 |